Tm3TaO7 | Alexandria via LeMat-Bulk | SCAN | PBEsol geometry; E above lowest polymorph = 0.000 eV per atom; space group = No. 20; formation energy from raw total energies = -3.77 eV/atom
1.0
3.695 -5.151 0.000
3.695 5.151 0.000
0.000 0.000 7.297
Tm Ta O
6 2 14
Direct
0.035 0.035 0.000 Tm
0.036 0.500 0.260 Tm
0.500 0.036 0.740 Tm
0.500 0.964 0.240 Tm
0.964 0.500 0.760 Tm
0.965 0.965 0.500 Tm
0.498 0.498 0.500 Ta
0.502 0.502 0.000 Ta
0.129 0.871 0.750 O
0.139 0.861 0.250 O
0.167 0.415 0.976 O
0.188 0.448 0.547 O
0.415 0.167 0.024 O
0.426 0.574 0.250 O
0.448 0.188 0.453 O
0.552 0.812 0.953 O
0.574 0.426 0.750 O
0.585 0.833 0.524 O
0.812 0.552 0.047 O
0.833 0.585 0.476 O
0.861 0.139 0.750 O
0.871 0.129 0.250 O